Entry 1:
! PBE-GGA ScGaBi, optimized geometry; values from VASP
! energy above the lowest structure with this stoichiometry	57	meV/atom
! DOS(E_F)	10.011	states/eV/cell
! energy of formation from the pure elements	-106.9	meV per atom
! SG	No. 84
&SYSTEM
  ibrav = 0, nat = 12, ntyp = 3
/
ATOMIC_SPECIES
Sc 44.96 Sc.upf
Ga 69.72 Ga.upf
Bi 208.98 Bi.upf
ATOMIC_POSITIONS angstrom
Sc 0.1006 7.3654 0.0000
Sc 1.7890 0.1006 2.0667
Sc 7.3654 9.0538 2.0667
Sc 9.0538 1.7890 0.0000
Ga 1.8281 6.3290 2.0667
Ga 2.8255 1.8281 0.0000
Ga 6.3290 7.3264 0.0000
Ga 7.3264 2.8255 2.0667
Bi 1.6439 3.4507 2.0667
Bi 3.4507 7.5105 0.0000
Bi 5.7038 1.6439 0.0000
Bi 7.5105 5.7038 2.0667
CELL_PARAMETERS angstrom
9.1544 0.0000 0.0000
0.0000 9.1544 0.0000
0.0000 0.0000 4.1334

Entry 2:
! PBE-GGA Sc3GaBi, optimized geometry; values from VASP
! energy above the lowest structure with this stoichiometry	780	meV/atom
! DOS(E_F)	4.154	states/eV/cell
! energy of formation from the pure elements	372.7	meV per atom
! SG	No. 221
&SYSTEM
  ibrav = 0, nat = 5, ntyp = 3
/
ATOMIC_SPECIES
Sc 44.96 Sc.upf
Ga 69.72 Ga.upf
Bi 208.98 Bi.upf
ATOMIC_POSITIONS angstrom
Sc 0.0000 0.0000 2.6975
Sc 0.0000 2.6975 0.0000
Sc 2.6975 0.0000 0.0000
Ga 2.6975 2.6975 2.6975
Bi 0.0000 0.0000 0.0000
CELL_PARAMETERS angstrom
5.3950 0.0000 0.0000
0.0000 5.3950 0.0000
0.0000 0.0000 5.3950

Entry 3:
! PBE-GGA Sc2GaBi2, optimized geometry; values from VASP
! energy above the lowest structure with this stoichiometry	87	meV/atom
! DOS(E_F)	4.379	states/eV/cell
! energy of formation from the pure elements	-314.0	meV per atom
! SG	No. 127
&SYSTEM
  ibrav = 0, nat = 10, ntyp = 3
/
ATOMIC_SPECIES
Sc 44.96 Sc.upf
Ga 69.72 Ga.upf
Bi 208.98 Bi.upf
ATOMIC_POSITIONS angstrom
Sc 1.2241 2.8576 0.0000
Sc 2.8576 6.9392 0.0000
Sc 5.3057 1.2241 0.0000
Sc 6.9392 5.3057 0.0000
Ga 0.0000 0.0000 1.9625
Ga 4.0817 4.0817 1.9625
Bi 1.2364 5.3181 1.9625
Bi 2.8452 1.2364 1.9625
Bi 5.3181 6.9269 1.9625
Bi 6.9269 2.8452 1.9625
CELL_PARAMETERS angstrom
8.1633 0.0000 0.0000
0.0000 8.1633 0.0000
0.0000 0.0000 3.9251

Question: Among the records above, which one has the highest DOS(E_F)?
Answer: ScGaBi

Question: The lowest energy of formation from the pure elements belongs to which entry?
Answer: Sc2GaBi2

Question: The highest energy above the lowest structure with this stoichiometry belongs to which entry?
Answer: Sc3GaBi